# 1
YMgTl2 | PBE | optimized geometry

Computed properties:
total magnetic moment: 0.00 μB/cell
formation enthalpy at 0 K: -2.50 kcal/mol of atoms

a = 10.214 Å, b = 10.214 Å, c = 10.214 Å
α = 20.00°, β = 20.00°, γ = 20.00°
Fractional positions:
Mg 0.250 0.250 0.250
Tl 0.996 0.996 0.996
Tl 0.504 0.504 0.504
Y 0.750 0.750 0.750

# 2
Zr2ScAu | PBE | optimized geometry

Computed properties:
total magnetic moment: 0.00 μB/cell
formation enthalpy at 0 K: -2.43 kcal/mol of atoms

a = 10.205 Å, b = 10.205 Å, c = 10.205 Å
α = 17.99°, β = 17.99°, γ = 17.99°
Fractional positions:
Au 0.250 0.250 0.250
Sc 0.750 0.750 0.750
Zr 0.995 0.995 0.995
Zr 0.505 0.505 0.505

# 3
YTmAu | PBE | optimized geometry

Computed properties:
total magnetic moment: 0.00 μB/cell
formation enthalpy at 0 K: -15.40 kcal/mol of atoms
E above lowest polymorph: 0.00 eV per formula unit

a = 4.916 Å, b = 8.852 Å, c = 7.147 Å
α = 90.00°, β = 90.00°, γ = 90.00°
Fractional positions:
Y 0.250 0.823 0.485
Y 0.750 0.323 0.015
Y 0.250 0.677 0.985
Y 0.750 0.177 0.515
Tm 0.750 0.921 0.148
Tm 0.750 0.579 0.648
Tm 0.250 0.079 0.852
Tm 0.250 0.421 0.352
Au 0.750 0.600 0.248
Au 0.750 0.900 0.748
Au 0.250 0.100 0.252
Au 0.250 0.400 0.752

# 4
SrCuP3 | PBE | optimized geometry

Computed properties:
total magnetic moment: 0.00 μB/cell
formation enthalpy at 0 K: 1.34 kcal/mol of atoms
E above lowest polymorph: 0.00 eV per formula unit

a = 4.670 Å, b = 4.670 Å, c = 4.670 Å
α = 90.00°, β = 90.00°, γ = 90.00°
Fractional positions:
Sr 0.500 0.500 0.500
Cu 0.000 0.000 0.000
P 0.000 0.500 0.000
P 0.000 0.000 0.500
P 0.500 0.000 0.000

# 5
RbNaGaAu2 | PBE | optimized geometry

Computed properties:
total magnetic moment: 0.00 μB/cell
formation enthalpy at 0 K: 8.74 kcal/mol of atoms
E above lowest polymorph: 2.73 eV per formula unit

a = 5.407 Å, b = 5.575 Å, c = 5.407 Å
α = 90.00°, β = 90.00°, γ = 90.00°
Fractional positions:
Na 0.000 0.000 0.000
Au 0.000 0.000 0.500
Au 0.500 0.000 0.000
Ga 0.500 0.500 0.500
Rb 0.000 0.500 0.000

# 6
CsAcZnS3 | PBE | optimized geometry

Computed properties:
formation energy without anion corrections: -1.492 eV/atom
total magnetic moment: 0.00 μB/cell

a = 4.323 Å, b = 9.783 Å, c = 9.978 Å
α = 106.24°, β = 90.00°, γ = 90.00°
Fractional positions:
Cs 0.250 0.192 0.227
Cs 0.750 0.808 0.773
Ac 0.250 0.663 0.157
Ac 0.750 0.337 0.843
Zn 0.250 0.077 0.608
Zn 0.750 0.923 0.392
S 0.750 0.874 0.154
S 0.250 0.126 0.846
S 0.250 0.836 0.470
S 0.750 0.164 0.530
S 0.750 0.454 0.149
S 0.250 0.546 0.851

# 7
KPrS2 | PBE | optimized geometry

Computed properties:
formation energy without anion corrections: -1.842 eV/atom
total magnetic moment: 0.00 μB/cell

a = 7.798 Å, b = 7.798 Å, c = 7.798 Å
α = 31.48°, β = 31.48°, γ = 31.48°
Fractional positions:
Pr 0.000 0.000 0.000
K 0.500 0.500 0.500
S 0.736 0.736 0.736
S 0.264 0.264 0.264

# 8
CrFeRe | PBE | optimized geometry

Computed properties:
total magnetic moment: 2.77 μB/cell
formation enthalpy at 0 K: 1.53 kcal/mol of atoms
E above lowest polymorph: 0.31 eV per formula unit

a = 4.189 Å, b = 4.189 Å, c = 2.549 Å
α = 90.00°, β = 90.00°, γ = 120.00°
Each line ends with the local moment (μB).
Fractional positions:
Re 0.667 0.333 0.683  0.02
Fe 0.333 0.667 0.322  2.40
Cr 0.000 0.000 0.995  0.34

# 9
CuHgSe2 | PBE | optimized geometry

Computed properties:
formation energy without anion corrections: 0.225 eV/atom
total magnetic moment: 0.00 μB/cell

a = 3.418 Å, b = 3.413 Å, c = 7.876 Å
α = 90.00°, β = 90.00°, γ = 90.00°
Fractional positions:
Cu 0.500 0.500 0.250
Hg 0.500 0.500 0.750
Se 0.000 0.000 0.094
Se 0.000 0.000 0.406

# 10
Ho2ZnAu6 | PBE | optimized geometry

Computed properties:
total magnetic moment: 0.00 μB/cell
formation enthalpy at 0 K: -13.29 kcal/mol of atoms

a = 5.421 Å, b = 6.251 Å, c = 6.251 Å
α = 59.90°, β = 89.95°, γ = 89.95°
Fractional positions:
Ho 0.825 0.666 0.666
Ho 0.175 0.334 0.334
Zn 0.000 0.000 0.000
Au 0.306 0.363 0.819
Au 0.305 0.818 0.818
Au 0.306 0.819 0.363
Au 0.694 0.637 0.181
Au 0.695 0.182 0.182
Au 0.694 0.181 0.637

# 11
Ac8CuRh3I3 | PBE | optimized geometry

Computed properties:
formation energy without anion corrections: -0.801 eV/atom
total magnetic moment: 0.00 μB/cell

a = 8.835 Å, b = 8.828 Å, c = 9.907 Å
α = 116.43°, β = 90.00°, γ = 120.03°
Fractional positions:
Ac 0.271 0.541 0.311
Ac 0.729 0.459 0.689
Ac 0.766 0.532 0.312
Ac 0.234 0.468 0.688
Ac 0.766 0.047 0.312
Ac 0.234 0.953 0.688
Ac 0.281 0.047 0.312
Ac 0.719 0.953 0.688
Cu 0.000 0.000 0.500
Rh 0.500 0.000 0.500
Rh 0.500 0.500 0.500
Rh 0.000 0.500 0.500
I 0.000 0.000 0.000
I 0.000 0.500 0.000
I 0.500 0.500 0.000

# 12
Mo2PbSe | PBE | optimized geometry

Computed properties:
formation energy without anion corrections: 0.632 eV/atom
total magnetic moment: 0.00 μB/cell
E above lowest polymorph: 1.97 eV per formula unit

a = 5.468 Å, b = 5.468 Å, c = 5.468 Å
α = 146.67°, β = 121.25°, γ = 69.26°
Fractional positions:
Mo 0.032 0.032 0.000
Mo 0.468 0.468 0.000
Pb 0.750 0.250 0.500
Se 0.250 0.750 0.500

# 13
MnAs | PBE | optimized geometry

Computed properties:
total magnetic moment: 4.73 μB/cell
formation enthalpy at 0 K: -1.26 kcal/mol of atoms

a = 4.711 Å, b = 5.834 Å, c = 3.209 Å
α = 74.04°, β = 70.08°, γ = 45.41°
Each line ends with the local moment (μB).
Fractional positions:
As 0.996 0.002 0.001  -0.14
As 0.921 0.581 0.749  -0.14
Mn 0.560 0.504 0.468  2.48
Mn 0.357 0.080 0.282  2.48

How do the records compare in final energy? In the order shown, they have -13.22, -27.13, -64.87, -21.72, -9.97, -55.14, -21.50, -30.34, -10.47, -35.28, -75.68, -26.33, -27.86 eV/cell.